Below is Tl8Bi after structural relaxation, with properties calculated at the GGA-PBE level.

```
data_Tl8Bi
_symmetry_space_group_name_H-M 'I 4/m m m'
_symmetry_Int_Tables_number 139
_symmetry_space_group_name_Hall '-I 4 2'
_cell_length_a 12.147
_cell_length_b 12.147
_cell_length_c 3.838
_cell_angle_alpha 90.00
_cell_angle_beta 90.00
_cell_angle_gamma 90.00
loop_
_atom_site_label
_atom_site_type_symbol
_atom_site_fract_x
_atom_site_fract_y
_atom_site_fract_z
_atom_site_occupancy
Tl1 Tl 0.000 0.334 0.000 1
Tl2 Tl 0.165 0.165 0.500 1
Bi1 Bi 0.000 0.000 0.000 1
```

M_tot (μB per cell): 0.0
Energy of formation (eV/atom): 0.00


Below is ZnFeP2Cl after structural relaxation, with properties calculated at the GGA-PBE level.

```
data_ZnFeP2Cl
_symmetry_space_group_name_H-M 'P 4/m m m'
_symmetry_Int_Tables_number 123
_symmetry_space_group_name_Hall '-P 4 2'
_cell_length_a 4.580
_cell_length_b 4.580
_cell_length_c 4.967
_cell_angle_alpha 90.00
_cell_angle_beta 90.00
_cell_angle_gamma 90.00
loop_
_atom_site_label
_atom_site_type_symbol
_atom_site_fract_x
_atom_site_fract_y
_atom_site_fract_z
_atom_site_occupancy
Zn1 Zn 0.000 0.000 0.000 1
Fe1 Fe 0.500 0.500 0.500 1
P1 P 0.000 0.500 0.000 1
Cl1 Cl 0.000 0.000 0.500 1
```

M_tot (μB per cell): 3.4
Formation energy without anion corrections (meV per atom): 973


Below is LiCaZr2 after structural relaxation, with properties calculated at the GGA-PBE level.

```
data_LiCaZr2
_symmetry_space_group_name_H-M 'I -4 m 2'
_symmetry_Int_Tables_number 119
_symmetry_space_group_name_Hall 'I -4 -2'
_cell_length_a 4.769
_cell_length_b 4.769
_cell_length_c 8.583
_cell_angle_alpha 90.00
_cell_angle_beta 90.00
_cell_angle_gamma 90.00
loop_
_atom_site_label
_atom_site_type_symbol
_atom_site_fract_x
_atom_site_fract_y
_atom_site_fract_z
_atom_site_occupancy
Li1 Li 0.000 0.000 0.000 1
Ca1 Ca 0.000 0.500 0.250 1
Zr1 Zr 0.000 0.000 0.500 1
Zr2 Zr 0.000 0.500 0.750 1
```

M_tot (μB per cell): 0.0
Energy of formation (eV/atom): 0.47


Below is ScPb2Cl6 after structural relaxation, with properties calculated at the GGA-PBE level.

```
data_ScPb2Cl6
_symmetry_space_group_name_H-M 'P 42/m n m'
_symmetry_Int_Tables_number 136
_symmetry_space_group_name_Hall '-P 4n 2n'
_cell_length_a 6.876
_cell_length_b 6.876
_cell_length_c 12.053
_cell_angle_alpha 90.00
_cell_angle_beta 90.00
_cell_angle_gamma 90.00
loop_
_atom_site_label
_atom_site_type_symbol
_atom_site_fract_x
_atom_site_fract_y
_atom_site_fract_z
_atom_site_occupancy
Sc1 Sc 0.000 0.000 0.000 1
Pb1 Pb 0.000 0.000 0.355 1
Cl1 Cl 0.187 0.187 0.149 1
Cl2 Cl 0.247 0.247 0.500 1
```

M_tot (μB per cell): 2.0
Formation energy without anion corrections (meV per atom): -1376


Below is RbNa8Hg2 after structural relaxation, with properties calculated at the GGA-PBE level.

```
data_RbNa8Hg2
_symmetry_space_group_name_H-M 'P -3 m 1'
_symmetry_Int_Tables_number 164
_symmetry_space_group_name_Hall '-P 3 2"'
_cell_length_a 6.8178
_cell_length_b 6.8178
_cell_length_c 10.3357
_cell_angle_alpha 90.00
_cell_angle_beta 90.00
_cell_angle_gamma 120.00
loop_
_atom_site_label
_atom_site_type_symbol
_atom_site_fract_x
_atom_site_fract_y
_atom_site_fract_z
_atom_site_occupancy
Rb1 Rb 0.0000 0.0000 0.0000 1
Na1 Na 0.1696 0.3392 0.3610 1
Na2 Na 0.3333 0.6667 0.8000 1
Hg1 Hg 0.3333 0.6667 0.1104 1
```

M_tot (μB per cell): 0.0
Energy of formation (eV/atom): -0.03


Below is Mg2SiSbI after structural relaxation, with properties calculated at the GGA-PBE level.

```
data_Mg2SiSbI
_symmetry_space_group_name_H-M 'P 4/m m m'
_symmetry_Int_Tables_number 123
_symmetry_space_group_name_Hall '-P 4 2'
_cell_length_a 5.454
_cell_length_b 5.454
_cell_length_c 5.876
_cell_angle_alpha 90.00
_cell_angle_beta 90.00
_cell_angle_gamma 90.00
loop_
_atom_site_label
_atom_site_type_symbol
_atom_site_fract_x
_atom_site_fract_y
_atom_site_fract_z
_atom_site_occupancy
Mg1 Mg 0.000 0.500 0.000 1
Si1 Si 0.000 0.000 0.500 1
Sb1 Sb 0.500 0.500 0.500 1
I1 I 0.500 0.500 0.000 1
```

M_tot (μB per cell): 0.0
Formation energy without anion corrections (meV per atom): 1020


Below is TaTe2Mo after structural relaxation, with properties calculated at the GGA-PBE level.

```
data_TaTe2Mo
_symmetry_space_group_name_H-M 'R -3 m'
_symmetry_Int_Tables_number 166
_symmetry_space_group_name_Hall '-R 3 2"'
_cell_length_a 3.2868
_cell_length_b 3.2868
_cell_length_c 25.8120
_cell_angle_alpha 90.00
_cell_angle_beta 90.00
_cell_angle_gamma 120.00
loop_
_atom_site_label
_atom_site_type_symbol
_atom_site_fract_x
_atom_site_fract_y
_atom_site_fract_z
_atom_site_occupancy
Ta1 Ta 0.0000 0.0000 0.0000 1
Te1 Te 0.0000 0.0000 0.2468 1
Mo1 Mo 0.0000 0.0000 0.5000 1
```

M_tot (μB per cell): 0.0
Formation energy without anion corrections (meV per atom): 379


Below is Ga2Pd7Au2 after structural relaxation, with properties calculated at the GGA-PBE level.

```
data_Ga2Pd7Au2
_symmetry_space_group_name_H-M 'C 1 2/m 1'
_symmetry_Int_Tables_number 12
_symmetry_space_group_name_Hall '-C 2y'
_cell_length_a 6.960
_cell_length_b 9.368
_cell_length_c 6.560
_cell_angle_alpha 90.00
_cell_angle_beta 99.55
_cell_angle_gamma 90.00
loop_
_atom_site_label
_atom_site_type_symbol
_atom_site_fract_x
_atom_site_fract_y
_atom_site_fract_z
_atom_site_occupancy
Ga1 Ga 0.000 0.139 0.000 1
Pd1 Pd 0.000 0.500 0.500 1
Pd2 Pd 0.132 0.345 0.846 1
Pd3 Pd 0.236 0.500 0.205 1
Au1 Au 0.122 0.000 0.364 1
```

M_tot (μB per cell): 0.0
Energy of formation (eV/atom): -0.01


Below is TmGa2Pd after structural relaxation, with properties calculated at the GGA-PBE level.

```
data_TmGa2Pd
_symmetry_space_group_name_H-M 'R -3 m'
_symmetry_Int_Tables_number 166
_symmetry_space_group_name_Hall '-R 3 2"'
_cell_length_a 4.2710
_cell_length_b 4.2710
_cell_length_c 14.4426
_cell_angle_alpha 90.00
_cell_angle_beta 90.00
_cell_angle_gamma 120.00
loop_
_atom_site_label
_atom_site_type_symbol
_atom_site_fract_x
_atom_site_fract_y
_atom_site_fract_z
_atom_site_occupancy
Tm1 Tm 0.0000 0.0000 0.0000 1
Ga1 Ga 0.0000 0.0000 0.2202 1
Pd1 Pd 0.0000 0.0000 0.5000 1
```

M_tot (μB per cell): 0.0
Energy of formation (eV/atom): -0.68


Below is Rb2SnPSe after structural relaxation, with properties calculated at the GGA-PBE level.

```
data_Rb2SnPSe
_symmetry_space_group_name_H-M 'P 4/m m m'
_symmetry_Int_Tables_number 123
_symmetry_space_group_name_Hall '-P 4 2'
_cell_length_a 7.052
_cell_length_b 7.052
_cell_length_c 5.265
_cell_angle_alpha 90.00
_cell_angle_beta 90.00
_cell_angle_gamma 90.00
loop_
_atom_site_label
_atom_site_type_symbol
_atom_site_fract_x
_atom_site_fract_y
_atom_site_fract_z
_atom_site_occupancy
Rb1 Rb 0.000 0.500 0.000 1
Sn1 Sn 0.000 0.000 0.000 1
P1 P 0.500 0.500 0.500 1
Se1 Se 0.000 0.000 0.500 1
```

M_tot (μB per cell): 1.9
Formation energy without anion corrections (meV per atom): 321


Below is SiAs2Au after structural relaxation, with properties calculated at the GGA-PBE level.

```
data_SiAs2Au
_symmetry_space_group_name_H-M 'I 4/m m m'
_symmetry_Int_Tables_number 139
_symmetry_space_group_name_Hall '-I 4 2'
_cell_length_a 3.854
_cell_length_b 3.854
_cell_length_c 10.189
_cell_angle_alpha 90.00
_cell_angle_beta 90.00
_cell_angle_gamma 90.00
loop_
_atom_site_label
_atom_site_type_symbol
_atom_site_fract_x
_atom_site_fract_y
_atom_site_fract_z
_atom_site_occupancy
Si1 Si 0.000 0.000 0.000 1
As1 As 0.000 0.500 0.250 1
Au1 Au 0.000 0.000 0.500 1
```

M_tot (μB per cell): 0.0
Formation energy without anion corrections (meV per atom): 461


Below is AcPrPtRh after structural relaxation, with properties calculated at the GGA-PBE level.

```
data_AcPrPtRh
_symmetry_space_group_name_H-M 'F -4 3 m'
_symmetry_Int_Tables_number 216
_symmetry_space_group_name_Hall 'F -4 2 3'
_cell_length_a 7.349
_cell_length_b 7.349
_cell_length_c 7.349
_cell_angle_alpha 90.00
_cell_angle_beta 90.00
_cell_angle_gamma 90.00
loop_
_atom_site_label
_atom_site_type_symbol
_atom_site_fract_x
_atom_site_fract_y
_atom_site_fract_z
_atom_site_occupancy
Ac1 Ac 0.000 0.000 0.000 1
Pr1 Pr 0.000 0.000 0.500 1
Pt1 Pt 0.250 0.250 0.750 1
Rh1 Rh 0.250 0.250 0.250 1
```

M_tot (μB per cell): 0.0
Energy of formation (eV/atom): -0.79